A plane-wave DFT calculation with GGA+U was carried out for crystalline Li5V2Cr2O8 at its relaxed geometry.

Unit cell a=6.083 b=6.083 c=6.016 alpha=119.50 beta=119.50 gamma=59.14
Positions (direct):
Li 0.000 0.000 0.000
Li 0.000 0.500 0.000
Li 0.069 0.069 0.710
Li 0.500 0.000 0.000
Li 0.931 0.931 0.290
V 0.500 0.500 0.000
V 0.500 0.500 0.500
Cr 0.000 0.500 0.500
Cr 0.500 0.000 0.500
O 0.243 0.728 0.747
O 0.252 0.252 0.268
O 0.255 0.255 0.742
O 0.272 0.757 0.253
O 0.728 0.243 0.747
O 0.745 0.745 0.258
O 0.748 0.748 0.732
O 0.757 0.272 0.253

The total energy is -6.587 eV per atom. The calculation puts the magnetic moment at 11.00 μB per formula unit. Its symmetry is C2/m.